The following is a PBE-GGA calculation of crystalline Ac2ScNbO6 at its relaxed geometry, from Alexandria.

a = 5.8342 Å, b = 5.8866 Å, c = 5.8354 Å
α = 62.16°, β = 58.81°, γ = 90.65°
Closest atoms and distances in Å follow each position.
Positions (direct):
Ac1 0.7521 0.2420 0.5101  5 O 2.54-2.63
Ac2 0.2479 0.7580 0.4899  5 O 2.54-2.63
Sc1 0.0000 0.0000 0.0000  6 O 2.11-2.14
Nb1 0.5000 0.5000 0.0000  6 O 2.13-2.16
O1 0.2006 0.1873 0.5044  1 Sc 2.11, 1 Nb 2.16
O2 0.7500 0.6594 0.0912  1 Nb 2.13, 1 Sc 2.14
O3 0.3076 0.8120 0.9877  1 Sc 2.11, 1 Nb 2.16
O4 0.6924 0.1880 0.0123  1 Sc 2.11, 1 Nb 2.16
O5 0.2500 0.3406 0.9088  1 Nb 2.13, 1 Sc 2.14
O6 0.7994 0.8127 0.4956  1 Sc 2.11, 1 Nb 2.16

## Properties
DOS at the Fermi energy, states/eV/f.u.: 2.92
Uncorrected formation energy, eV per atom: -3.07
Crystal system: monoclinic
Total magnetic moment, μB per cell: 1.999